BeTe2As PBE optimized geometry; formation energy from raw total energies = 0.06 eV/atom; space group = Pm; relative energy among the computed polymorphs = 17 meV per atom
1.0
3.5440 0.0000 0.0000
0.0000 4.4011 0.0210
0.0000 2.1605 6.8292
As Te Be
1 2 1
Direct
0.0000 0.5061 0.6036
0.5000 0.2402 0.3509
0.0000 0.9384 0.8824
0.5000 0.8153 0.6630


CaPdO PBE optimized geometry; formation energy from raw total energies = -1.39 eV/atom; space group = P4_2/mmc
1.0
-2.1051 -2.1602 2.5709
1.7890 -3.2893 -1.2990
4.6655 0.7725 4.4692
O Ca Pd
2 2 2
Direct
0.0000 0.5000 0.0000
0.5000 0.0000 0.5000
0.0000 0.0000 0.7500
0.0000 0.0000 0.2500
0.5000 0.5000 0.5000
0.5000 0.5000 0.0000


BeZnNiRu PBE optimized geometry; formation enthalpy at 0 K = -100 meV per atom; space group = F-43m
1.0
-3.9923 -0.5906 0.1505
-1.9711 -1.3170 -3.2696
-1.4907 -3.7524 -0.0840
Be Ru Zn Ni
1 1 1 1
Direct
0.0000 0.0000 0.0000
0.7500 0.7500 0.7500
0.5000 0.5000 0.5000
0.2500 0.2500 0.2500


La3CeS4 PBE optimized geometry; formation energy from raw total energies = -2.13 eV/atom; space group = Cmmm
1.0
4.1158 0.0000 0.0000
0.0000 7.1547 -0.0624
0.0000 -2.3150 6.7701
S La Ce
4 3 1
Direct
0.0000 0.7557 0.7557
0.0000 0.2443 0.2443
0.5000 0.7529 0.2471
0.5000 0.2471 0.7529
0.5000 0.5000 0.5000
0.0000 0.0000 0.5000
0.0000 0.5000 0.0000
0.5000 0.0000 0.0000


The DOS(E_F) results, record by record, are as follows: 0.3 0.5 3.9 8.6 states/eV per cell.
The ρ results, record by record, are as follows: 5.29 5.28 8.35 5.72 g cm⁻³.